Compound: YZnPb3
Source: Alexandria
Functional: PBEsol
Structure: optimized geometry

The structure in POSCAR format:
```
YZnPb3
1.0
-4.830 -3.205 0.103
0.954 -1.613 -5.486
3.061 -4.554 1.871
Y Zn Pb
1 1 3
Direct
0.000 0.000 0.000
0.500 0.500 0.500
0.000 0.000 0.500
0.000 0.500 0.000
0.500 0.000 0.000
```

- DFT total energy: -3.410 eV/atom
- Energy of formation: 3.3 eV/f.u.

***

Compound: Ca3P2Ir3
Source: Alexandria
Functional: PBEsol
Structure: optimized geometry

The structure in POSCAR format:
```
Ca3P2Ir3
1.0
-2.995 4.089 -2.084
2.441 -1.725 -6.893
-11.143 -9.022 -1.689
Ca P Ir
12 8 12
Direct
0.574 0.324 0.250
0.426 0.676 0.750
0.926 0.824 0.250
0.379 0.980 0.110
0.121 0.480 0.390
0.879 0.520 0.890
0.074 0.176 0.750
0.121 0.480 0.110
0.879 0.520 0.610
0.621 0.020 0.610
0.379 0.980 0.390
0.621 0.020 0.890
0.116 0.865 0.900
0.116 0.865 0.600
0.616 0.635 0.100
0.884 0.135 0.400
0.384 0.365 0.600
0.616 0.635 0.400
0.884 0.135 0.100
0.384 0.365 0.900
0.113 0.154 0.539
0.540 0.323 0.750
0.887 0.846 0.461
0.040 0.177 0.250
0.887 0.846 0.039
0.113 0.154 0.961
0.387 0.654 0.961
0.960 0.823 0.750
0.387 0.654 0.539
0.613 0.346 0.461
0.460 0.677 0.250
0.613 0.346 0.039
```

- DFT total energy: -6.744 eV/atom
- Energy of formation: -6.5 eV/f.u.

***

Compound: Sr2LiRe
Source: Alexandria
Functional: PBEsol
Structure: optimized geometry

The structure in POSCAR format:
```
Sr2LiRe
1.0
-0.739 -0.834 2.816
3.717 -2.633 -1.433
4.645 5.809 2.940
Sr Li Re
2 1 1
Direct
0.739 0.477 0.716
0.261 0.523 0.284
0.500 0.000 0.000
0.000 0.000 0.500
```

- Excess energy over the best structure of this formula in the dataset: 0 meV/atom
- DFT total energy: -3.776 eV/atom
- Energy of formation: 3.9 eV/f.u.

***

Compound: SrLa2Pb
Source: Alexandria
Functional: PBEsol
Structure: optimized geometry

The structure in POSCAR format:
```
SrLa2Pb
1.0
-2.192 3.027 -3.278
1.259 -3.084 -3.690
-4.093 -2.588 4.116
La Sr Pb
2 1 1
Direct
0.000 0.000 0.000
0.750 0.250 0.500
0.250 0.750 0.500
0.500 0.500 0.000
```

- DFT total energy: -4.374 eV/atom
- Energy of formation: -1.0 eV/f.u.

***

Compound: Hf2InCu2
Source: Alexandria
Functional: PBEsol
Structure: optimized geometry

The structure in POSCAR format:
```
Hf2InCu2
1.0
6.646 0.000 0.000
0.000 7.124 0.000
0.000 0.000 7.124
Cu Hf In
8 8 4
Direct
0.702 0.123 0.877
0.798 0.623 0.623
0.298 0.877 0.123
0.298 0.123 0.877
0.202 0.377 0.377
0.702 0.877 0.123
0.798 0.377 0.377
0.202 0.623 0.623
0.500 0.350 0.650
0.500 0.195 0.195
0.000 0.695 0.305
0.000 0.305 0.695
0.500 0.650 0.350
0.500 0.805 0.805
0.000 0.850 0.850
0.000 0.150 0.150
0.250 0.500 0.000
0.750 0.000 0.500
0.750 0.500 0.000
0.250 0.000 0.500
```

- DFT total energy: -6.805 eV/atom
- Energy of formation: -1.4 eV/f.u.

***

Compound: FeRe2Ag
Source: Alexandria
Functional: PBEsol
Structure: optimized geometry

The structure in POSCAR format:
```
FeRe2Ag
1.0
2.714 0.000 0.000
0.000 2.714 0.000
0.000 0.000 7.695
Re Ag Fe
2 1 1
Direct
0.500 0.500 0.234
0.000 0.000 0.985
0.000 0.000 0.514
0.500 0.500 0.767
```

- Excess energy over the best structure of this formula in the dataset: 0 meV/atom
- DFT total energy: -9.358 eV/atom
- Energy of formation: 1.5 eV/f.u.

***

Compound: Rb3CdRu
Source: Alexandria
Functional: PBEsol
Structure: optimized geometry

The structure in POSCAR format:
```
Rb3CdRu
1.0
-5.352 -3.718 -0.889
3.805 -5.035 -1.852
0.366 -2.021 6.248
Rb Cd Ru
3 1 1
Direct
0.000 0.000 0.500
0.000 0.500 0.000
0.500 0.000 0.000
0.000 0.000 0.000
0.500 0.500 0.500
```

- DFT total energy: -1.530 eV/atom
- Energy of formation: 6.8 eV/f.u.

***

Compound: NaLi2TeH
Source: Alexandria
Functional: PBEsol
Structure: optimized geometry

The structure in POSCAR format:
```
NaLi2TeH
1.0
3.967 0.000 0.000
0.000 5.506 0.000
0.000 0.000 5.506
Li Na Te H
2 1 1 1
Direct
0.000 0.500 0.000
0.000 0.000 0.500
0.500 0.500 0.500
0.000 0.000 0.000
0.500 0.000 0.000
```

- DFT total energy: -2.505 eV/atom

***

Compound: Mn2FeCo
Source: Alexandria
Functional: PBEsol
Structure: optimized geometry

The structure in POSCAR format:
```
Mn2FeCo
1.0
2.392 0.004 0.000
-0.862 2.231 0.000
0.000 0.000 7.958
Mn Fe Co
2 1 1
Direct
0.000 0.000 0.751
0.000 0.000 0.249
0.500 0.500 0.000
0.500 0.500 0.500
```

- Excess energy over the best structure of this formula in the dataset: 144 meV/atom
- DFT total energy: -8.883 eV/atom
- Energy of formation: 0.7 eV/f.u.

***

Compound: RbMg3S
Source: Alexandria
Functional: PBEsol
Structure: optimized geometry

The structure in POSCAR format:
```
RbMg3S
1.0
-5.274 -3.928 0.054
2.233 -3.072 -5.369
3.232 -4.288 3.797
Mg Rb S
3 1 1
Direct
0.000 0.000 0.500
0.500 0.000 0.000
0.000 0.500 0.000
0.000 0.000 0.000
0.500 0.500 0.500
```

- Energy relative to the elements, uncorrected: 1268 meV per atom
- DFT total energy: -0.844 eV/atom

***

Compound: CrCl2
Source: Alexandria
Functional: PBEsol
Structure: optimized geometry

The structure in POSCAR format:
```
CrCl2
1.0
3.557 0.000 0.000
0.000 5.879 0.000
0.000 0.000 5.997
Cl Cr
4 2
Direct
0.500 0.203 0.183
0.500 0.797 0.817
0.000 0.703 0.317
0.000 0.297 0.683
0.500 0.500 0.500
0.000 0.000 0.000
```

- Energy relative to the elements, uncorrected: -848 meV per atom
- Excess energy over the best structure of this formula in the dataset: 0 meV/atom
- DFT total energy: -5.600 eV/atom

***

Compound: Li2LaTa
Source: Alexandria
Functional: PBEsol
Structure: optimized geometry

The structure in POSCAR format:
```
Li2LaTa
1.0
-1.444 1.547 4.408
-1.988 -3.151 3.167
2.479 -1.343 3.995
La Ta Li
1 1 2
Direct
0.500 0.500 0.500
0.250 0.250 0.250
0.750 0.750 0.750
0.000 0.000 0.000
```

- Excess energy over the best structure of this formula in the dataset: 282 meV/atom
- DFT total energy: -4.718 eV/atom
- Energy of formation: 3.0 eV/f.u.

***

Compound: CaMgS2
Source: Alexandria
Functional: PBEsol
Structure: optimized geometry

The structure in POSCAR format:
```
CaMgS2
1.0
-3.349 1.207 1.415
-3.037 -2.334 -0.013
-0.516 -2.506 6.103
S Mg Ca
2 1 1
Direct
0.757 0.757 0.730
0.243 0.243 0.270
0.500 0.500 0.500
0.000 0.000 0.000
```

- Energy relative to the elements, uncorrected: -1816 meV per atom
- DFT total energy: -4.970 eV/atom

***

Compound: Sc2ZnSe
Source: Alexandria
Functional: PBEsol
Structure: optimized geometry

The structure in POSCAR format:
```
Sc2ZnSe
1.0
3.646 0.000 0.000
1.823 3.157 0.000
1.823 1.052 6.860
Sc Zn Se
2 1 1
Direct
0.746 0.746 0.762
0.254 0.254 0.238
0.500 0.500 0.500
0.000 0.000 0.000
```

- Energy relative to the elements, uncorrected: -936 meV per atom
- Excess energy over the best structure of this formula in the dataset: 0 meV/atom
- DFT total energy: -5.596 eV/atom

***

Compound: Nb2AlInPb
Source: Alexandria
Functional: PBEsol
Structure: optimized geometry

The structure in POSCAR format:
```
Nb2AlInPb
1.0
-2.779 2.770 -2.833
-2.143 -3.961 -1.771
-3.477 0.248 3.653
In Pb Al Nb
1 1 1 2
Direct
0.500 0.500 0.500
0.000 0.000 0.500
0.000 0.000 0.000
0.500 0.000 0.000
0.000 0.500 0.000
```

- DFT total energy: -5.405 eV/atom
- Energy of formation: 5.7 eV/f.u.

***

Compound: La5Sb
Source: Alexandria
Functional: PBEsol
Structure: optimized geometry

The structure in POSCAR format:
```
La5Sb
1.0
-0.988 4.709 -0.797
-4.392 -0.563 2.115
3.623 -0.515 7.387
La Sb
5 1
Direct
0.158 0.000 0.316
0.656 0.500 0.312
0.000 0.500 0.000
0.344 0.500 0.688
0.842 0.000 0.684
0.500 0.000 0.000
```

- Energy relative to the elements, uncorrected: -392 meV per atom
- Excess energy over the best structure of this formula in the dataset: 0 meV/atom
- DFT total energy: -5.606 eV/atom

***

Compound: Li2HAu
Source: Alexandria
Functional: PBEsol
Structure: optimized geometry

The structure in POSCAR format:
```
Li2HAu
1.0
5.099 0.023 0.037
-2.083 4.654 -0.037
-2.083 -1.968 4.218
Li H Au
4 2 2
Direct
0.374 0.875 0.749
0.126 0.251 0.625
0.626 0.375 0.501
0.874 0.499 0.125
0.000 0.500 0.500
0.500 0.250 0.750
0.000 0.000 0.000
0.500 0.750 0.250
```

- DFT total energy: -3.076 eV/atom

***

Compound: MgHgOs3
Source: Alexandria
Functional: PBEsol
Structure: optimized geometry

The structure in POSCAR format:
```
MgHgOs3
1.0
4.458 0.000 0.000
0.000 4.458 0.000
0.000 0.000 4.458
Os Hg Mg
3 1 1
Direct
0.000 0.500 0.000
0.000 0.000 0.500
0.500 0.000 0.000
0.500 0.500 0.500
0.000 0.000 0.000
```

- DFT total energy: -5.312 eV/atom
- Energy of formation: 12.4 eV/f.u.

***

Compound: SrHfN2
Source: Alexandria
Functional: PBEsol
Structure: optimized geometry

The structure in POSCAR format:
```
SrHfN2
1.0
5.744 0.000 0.000
-2.872 5.065 -0.078
0.000 -3.183 4.781
Hf Sr N
2 2 4
Direct
0.250 0.500 0.750
0.000 0.000 0.000
0.500 0.000 0.500
0.750 0.500 0.250
0.125 0.750 0.697
0.947 0.250 0.875
0.303 0.250 0.375
0.625 0.750 0.053
```

- Energy relative to the elements, uncorrected: -1454 meV per atom
- DFT total energy: -8.803 eV/atom

***

Compound: LiCuNi2
Source: Alexandria
Functional: PBEsol
Structure: optimized geometry

The structure in POSCAR format:
```
LiCuNi2
1.0
3.433 0.000 0.000
0.000 3.433 0.000
0.000 0.000 3.606
Li Cu Ni
1 1 2
Direct
0.000 0.000 0.500
0.500 0.500 0.500
0.500 0.000 0.000
0.000 0.500 0.000
```

- DFT total energy: -4.601 eV/atom
- Energy of formation: 0.2 eV/f.u.

***

Compound: LaCuSnPd2
Source: Alexandria
Functional: PBEsol
Structure: optimized geometry

The structure in POSCAR format:
```
LaCuSnPd2
1.0
4.877 0.000 0.000
0.000 4.877 0.000
0.000 0.000 5.912
Pd La Cu Sn
2 1 1 1
Direct
0.500 0.000 0.000
0.000 0.500 0.000
0.000 0.000 0.500
0.500 0.500 0.500
0.000 0.000 0.000
```

- DFT total energy: -4.491 eV/atom
- Energy of formation: 3.4 eV/f.u.

***

Compound: Ca2CS
Source: Alexandria
Functional: PBEsol
Structure: optimized geometry

The structure in POSCAR format:
```
Ca2CS
1.0
-0.491 -0.799 -4.563
3.419 -2.084 -2.380
-0.564 -4.355 -1.555
Ca S C
2 1 1
Direct
0.750 0.750 0.750
0.250 0.250 0.250
0.500 0.500 0.500
0.000 0.000 0.000
```

- Energy relative to the elements, uncorrected: -157 meV per atom
- DFT total energy: -4.731 eV/atom

***

Compound: KLaBe
Source: Alexandria
Functional: PBEsol
Structure: optimized geometry

The structure in POSCAR format:
```
KLaBe
1.0
-2.856 1.976 -0.698
-2.096 -2.698 0.936
2.455 2.942 7.271
Be K La
1 1 1
Direct
0.019 0.019 0.039
0.365 0.365 0.731
0.615 0.615 0.231
```

- DFT total energy: -2.973 eV/atom
- Energy of formation: 1.6 eV/f.u.

***

Compound: YSb2As
Source: Alexandria
Functional: PBEsol
Structure: optimized geometry

The structure in POSCAR format:
```
YSb2As
1.0
-3.495 -1.003 -2.213
2.355 -2.350 -2.654
-0.172 -2.554 5.521
Y As Sb
1 1 2
Direct
0.500 0.500 0.000
0.000 0.000 0.000
0.250 0.750 0.500
0.750 0.250 0.500
```

- Energy relative to the elements, uncorrected: -538 meV per atom
- DFT total energy: -5.799 eV/atom

***

Compound: TiNb3Ga
Source: Alexandria
Functional: PBEsol
Structure: optimized geometry

The structure in POSCAR format:
```
TiNb3Ga
1.0
-0.724 2.105 4.141
2.652 -3.253 2.117
3.813 2.662 -0.686
Nb Ti Ga
3 1 1
Direct
0.000 0.000 0.500
0.500 0.000 0.000
0.000 0.500 0.000
0.500 0.500 0.500
0.000 0.000 0.000
```

- Excess energy over the best structure of this formula in the dataset: 0 meV/atom
- DFT total energy: -7.738 eV/atom
- Energy of formation: 5.4 eV/f.u.

***

Compound: CoAs3Pb
Source: Alexandria
Functional: PBEsol
Structure: optimized geometry

The structure in POSCAR format:
```
CoAs3Pb
1.0
4.636 0.000 0.000
0.000 4.636 0.000
0.000 0.000 4.636
Pb Co As
1 1 3
Direct
0.500 0.500 0.500
0.000 0.000 0.000
0.000 0.500 0.000
0.500 0.000 0.000
0.000 0.000 0.500
```

- DFT total energy: -5.101 eV/atom
- Energy of formation: 1.5 eV/f.u.

***

Compound: Cr2ReTc
Source: Alexandria
Functional: PBEsol
Structure: optimized geometry

The structure in POSCAR format:
```
Cr2ReTc
1.0
2.924 0.000 0.000
0.000 4.178 0.000
-1.462 -2.089 4.180
Cr Re Tc
2 1 1
Direct
0.015 0.515 0.031
0.735 0.735 0.470
0.491 0.991 0.982
0.259 0.259 0.517
```

- DFT total energy: -11.219 eV/atom
- Energy of formation: 0.2 eV/f.u.